Record 1
A plane-wave DFT calculation with PBE-GGA was carried out for a geometry-optimized Y5ZnRh6 structure.

Geometry as POSCAR:
```
Y5ZnRh6
1.0
4.6674 -0.2993 0.7642
-0.0186 6.3208 2.5920
1.0999 0.3499 8.1583
Y Zn Rh
5 1 6
Cartesian
3.8059 1.0101 6.5682
1.9028 2.0951 3.9079
-0.0093 3.1604 1.2960
3.8460 4.2764 7.6065
1.9429 5.3613 4.9462
0.0000 0.0000 0.0000
4.2521 3.5784 4.8361
4.2613 0.3992 3.5323
3.4198 4.8906 10.4637
2.3290 1.4808 1.0507
1.4874 5.9722 7.9821
1.4966 2.7930 6.6783
```

Values from the calculation:
M_tot, μB/cell: 0.00
D(E_F), states/eV per cell: 5.38
ΔH_f (0 K), eV/atom: -0.76
DFT total energy, eV/cell: -86.832

=====

Record 2
A plane-wave DFT calculation with PBE-GGA was carried out for a geometry-optimized YZnRh structure.

Geometry as POSCAR:
```
YZnRh
1.0
3.8734 0.0000 0.0000
0.0000 3.8734 0.0000
0.0000 0.0000 16.4076
Y Zn Rh
4 4 4
Cartesian
0.0000 0.0000 6.6076
0.0000 1.9367 10.7095
1.9367 1.9367 14.8114
1.9367 0.0000 2.5057
0.0000 0.0000 13.2961
0.0000 1.9367 0.9905
1.9367 1.9367 5.0924
1.9367 0.0000 9.1943
0.0000 0.0000 15.7996
0.0000 1.9367 3.4939
1.9367 1.9367 7.5958
1.9367 0.0000 11.6977
```

Values from the calculation:
M_tot, μB/cell: 0.00
D(E_F), states/eV per cell: 6.56
ΔH_f (0 K), eV/atom: -0.59
DFT total energy, eV/cell: -67.498

=====

Record 3
A plane-wave DFT calculation with PBE-GGA was carried out for a geometry-optimized YZnRh structure.

Geometry as POSCAR:
```
YZnRh
1.0
-3.8368 0.8217 -1.9046
0.4589 -3.5023 2.5586
-0.9983 1.9544 2.8544
Y Zn Rh
1 1 1
Cartesian
0.0000 0.0000 0.0000
-2.9041 0.3576 1.0104
-1.4721 -1.0838 2.4981
```

Values from the calculation:
M_tot, μB/cell: 0.00
D(E_F), states/eV per cell: 2.34
ΔH_f (0 K), eV/atom: -0.61
DFT total energy, eV/cell: -16.924